No. 1
Material: AsIrPt
Method: DFT, SCAN
State: PBEsol geometry

Cell lengths 4.205, 4.205, 4.205 Å; angles 60.00, 60.00, 60.00 degrees
Element x y z (fractional)
As (0.500, 0.500, 0.500)
Ir (0.250, 0.250, 0.250)
Pt (0.000, 0.000, 0.000)

Properties
V ... 17.52 A^3/atom
Raw total energy ... -53.751 eV/atom
Polymorph energy (0 for the lowest one) ... 160.5 meV/atom
DFT formation energy ... 0.08 eV per atom

No. 2
Material: AsIrPt
Method: DFT, SCAN
State: PBEsol geometry

Cell lengths 3.504, 3.941, 3.941 Å; angles 120.00, 90.00, 90.00 degrees
Element x y z (fractional)
As (0.961, 0.000, 0.000)
Ir (0.754, 0.667, 0.333)
Pt (0.285, 0.333, 0.667)

Properties
V ... 15.71 A^3/atom
Raw total energy ... -53.911 eV/atom
Polymorph energy (0 for the lowest one) ... 0.0 meV/atom
DFT formation energy ... -0.08 eV per atom

No. 3
Material: AsIr2Pt
Method: DFT, SCAN
State: PBEsol geometry

Cell lengths 2.851, 2.851, 7.175 Å; angles 90.00, 90.00, 90.00 degrees
Element x y z (fractional)
As (0.500, 0.500, 0.500)
Ir (0.000, 0.000, 0.730)
Ir (0.000, 0.000, 0.270)
Pt (0.500, 0.500, 0.000)

Properties
V ... 14.58 A^3/atom
Raw total energy ... -57.900 eV/atom
DFT formation energy ... 0.25 eV per atom

No. 4
Material: AsIr2Pt
Method: DFT, SCAN
State: PBEsol geometry

Cell lengths 2.804, 2.804, 7.588 Å; angles 90.00, 90.00, 90.00 degrees
Element x y z (fractional)
As (0.500, 0.500, 0.761)
Ir (0.000, 0.000, 0.002)
Ir (0.500, 0.500, 0.242)
Pt (0.000, 0.000, 0.496)

Properties
V ... 14.91 A^3/atom
Raw total energy ... -57.934 eV/atom
DFT formation energy ... 0.21 eV per atom